MgGa2Se | GGA-PBE | optimized geometry

The calculation puts the total magnetization at 0.000 μB/atom. As for the energy above the most stable polymorph in this dataset: 246 meV per atom. The calculation puts the density of states at the Fermi level at 0.574 states/eV/atom.

It has space group Fm-3m (No. 225), with a = 7.0415 Å, b = 7.0415 Å, c = 7.0415 Å, α = 90.00°, β = 90.00° and γ = 90.00°. Symmetry generates all atoms from Mg at (0.0000, 0.0000, 0.0000), Ga at (0.2500, 0.2500, 0.2500) and Se at (0.0000, 0.0000, 0.5000).


MgGa2Se4 | GGA-PBE | optimized geometry

The calculation puts the total magnetization at 0.000 μB/atom.

It has space group I-42m (No. 121), with a = 5.5426 Å, b = 5.5426 Å, c = 11.8760 Å, α = 90.00°, β = 90.00° and γ = 90.00°. Symmetry generates all atoms from Mg at (0.0000, 0.0000, 0.0000), Ga at (0.0000, 0.5000, 0.2500) and Se at (0.2285, 0.2285, 0.3749).


MgGa2Se | GGA-PBE | optimized geometry

The calculation puts the total magnetization at 0.000 μB/atom. As for the energy above the most stable polymorph in this dataset: 0 meV per atom. The calculation puts the density of states at the Fermi level at 0.455 states/eV/atom.

It has space group I-42d (No. 122), with a = 7.7334 Å, b = 7.7334 Å, c = 5.7336 Å, α = 90.00°, β = 90.00° and γ = 90.00°. Symmetry generates all atoms from Mg at (0.0000, 0.0000, 0.0000), Ga at (0.2365, 0.2500, 0.6250) and Se at (0.0000, 0.0000, 0.5000).


MgGa2Se | GGA-PBE | optimized geometry

The calculation puts the total magnetization at 0.000 μB/atom. As for the energy above the most stable polymorph in this dataset: 190 meV per atom. The calculation puts the density of states at the Fermi level at 0.283 states/eV/atom.

It has space group R-3m (No. 166, hexagonal axes), with a = 3.6289 Å, b = 3.6289 Å, c = 27.0348 Å, α = 90.00°, β = 90.00° and γ = 120.00°. Symmetry generates all atoms from Mg at (0.0000, 0.0000, 0.0000), Ga at (0.0000, 0.0000, 0.1032) and Se at (0.0000, 0.0000, 0.5000).


Mg2GaSe | GGA-PBE | optimized geometry

The calculation puts the total magnetization at 0.000 μB/atom. As for the energy above the most stable polymorph in this dataset: 196 meV per atom. The calculation puts the density of states at the Fermi level at 0.850 states/eV/atom.

It has space group Fm-3m (No. 225), with a = 6.9226 Å, b = 6.9226 Å, c = 6.9226 Å, α = 90.00°, β = 90.00° and γ = 90.00°. Symmetry generates all atoms from Mg at (0.2500, 0.2500, 0.2500), Ga at (0.0000, 0.0000, 0.0000) and Se at (0.0000, 0.0000, 0.5000).


Mg3GaSe4 | GGA-PBE | optimized geometry

The calculation puts the total magnetization at 0.000 μB/atom. The calculation puts the density of states at the Fermi level at 0.453 states/eV/atom.

It has space group Pmn2_1 (No. 31), with a = 8.5883 Å, b = 7.4275 Å, c = 6.8944 Å, α = 90.00°, β = 90.00° and γ = 90.00°. Symmetry generates all atoms from Mg at (0.0000, 0.1661, 0.0000), Mg at (0.2502, 0.3329, 0.5022), Ga at (0.0000, 0.8276, 0.5058), Se at (0.0000, 0.1688, 0.6228), Se at (0.0000, 0.8346, 0.1193) and Se at (0.2430, 0.3356, 0.1246).


MgGaSe2 | GGA-PBE | optimized geometry

The calculation puts the total magnetization at 0.000 μB/atom. The calculation puts the density of states at the Fermi level at 0.499 states/eV/atom.

It has space group I-42d (No. 122), with a = 5.9888 Å, b = 5.9888 Å, c = 12.6297 Å, α = 90.00°, β = 90.00° and γ = 90.00°. Symmetry generates all atoms from Mg at (0.0000, 0.0000, 0.0000), Ga at (0.0000, 0.0000, 0.5000) and Se at (0.2477, 0.2500, 0.1250).


MgGaSe2 | GGA-PBE | optimized geometry

The calculation puts the total magnetization at 0.000 μB/atom. The calculation puts the density of states at the Fermi level at 0.368 states/eV/atom.

It has space group C2/m (No. 12), with a = 16.9368 Å, b = 3.9745 Å, c = 7.3397 Å, α = 90.00°, β = 105.10° and γ = 90.00°. Symmetry generates all atoms from Mg at (0.1683, 0.0000, 0.3567), Ga at (0.1970, 0.5000, 0.9454), Se at (0.0964, 0.5000, 0.1164) and Se at (0.1686, 0.5000, 0.6045).


MgGa2Se4 | GGA-PBE | optimized geometry

The calculation puts the total magnetization at 0.000 μB/atom.

It has space group P-42m (No. 111), with a = 5.5453 Å, b = 5.5453 Å, c = 5.9552 Å, α = 90.00°, β = 90.00° and γ = 90.00°. Symmetry generates all atoms from Mg at (0.0000, 0.0000, 0.0000), Ga at (0.0000, 0.5000, 0.5000) and Se at (0.2700, 0.2700, 0.2508).


Mg2GaSe | GGA-PBE | optimized geometry

The calculation puts the total magnetization at 0.000 μB/atom. As for the energy above the most stable polymorph in this dataset: 0 meV per atom. The calculation puts the density of states at the Fermi level at 0.337 states/eV/atom.

It has space group I-42d (No. 122), with a = 7.4830 Å, b = 7.4830 Å, c = 6.4085 Å, α = 90.00°, β = 90.00° and γ = 90.00°. Symmetry generates all atoms from Mg at (0.2260, 0.2500, 0.1250), Ga at (0.0000, 0.0000, 0.5000) and Se at (0.0000, 0.0000, 0.0000).


MgGa2SiSe | GGA-PBE | optimized geometry

The calculation puts the total magnetization at 0.000 μB/atom. The calculation puts the density of states at the Fermi level at 0.806 states/eV/atom.

It has space group P4/mmm (No. 123), with a = 5.1167 Å, b = 5.1167 Å, c = 4.9607 Å, α = 90.00°, β = 90.00° and γ = 90.00°. Symmetry generates all atoms from Mg at (0.0000, 0.0000, 0.0000), Ga at (0.0000, 0.5000, 0.0000), Si at (0.5000, 0.5000, 0.5000) and Se at (0.0000, 0.0000, 0.5000).


Mg2GaSnSe | GGA-PBE | optimized geometry

The calculation puts the total magnetization at 0.000 μB/atom. The calculation puts the density of states at the Fermi level at 0.665 states/eV/atom.

It has space group P4/mmm (No. 123), with a = 5.3205 Å, b = 5.3205 Å, c = 5.7379 Å, α = 90.00°, β = 90.00° and γ = 90.00°. Symmetry generates all atoms from Mg at (0.0000, 0.5000, 0.0000), Ga at (0.0000, 0.0000, 0.5000), Sn at (0.5000, 0.5000, 0.0000) and Se at (0.5000, 0.5000, 0.5000).


Sr2MgGaSe5 | GGA-PBE | optimized geometry

The calculation puts the total magnetization at 0.000 μB/atom. The calculation puts the density of states at the Fermi level at 0.579 states/eV/atom.

It has space group Cmc2_1 (No. 36), with a = 4.0544 Å, b = 18.6603 Å, c = 12.5480 Å, α = 90.00°, β = 90.00° and γ = 90.00°. Symmetry generates all atoms from Sr at (0.0000, 0.1205, 0.0000), Sr at (0.0000, 0.1241, 0.6299), Mg at (0.0000, 0.2166, 0.3399), Ga at (0.0000, 0.4329, 0.7510), Se at (0.0000, 0.0533, 0.3638), Se at (0.0000, 0.2936, 0.9829), Se at (0.0000, 0.3072, 0.6878), Se at (0.0000, 0.3568, 0.3182) and Se at (0.0000, 0.4971, 0.5868).


Mg2GaTcSe | GGA-PBE | optimized geometry

The calculation puts the total magnetization at 0.000 μB/atom. The calculation puts the density of states at the Fermi level at 0.397 states/eV/atom.

It has space group P4/mmm (No. 123), with a = 5.1592 Å, b = 5.1592 Å, c = 4.6097 Å, α = 90.00°, β = 90.00° and γ = 90.00°. Symmetry generates all atoms from Mg at (0.0000, 0.5000, 0.0000), Ga at (0.0000, 0.0000, 0.5000), Tc at (0.5000, 0.5000, 0.0000) and Se at (0.5000, 0.5000, 0.5000).


MgGaTeSe2 | GGA-PBE | optimized geometry

The calculation puts the total magnetization at 0.000 μB/atom. The calculation puts the density of states at the Fermi level at 0.993 states/eV/atom.

It has space group P4/mmm (No. 123), with a = 5.4374 Å, b = 5.4374 Å, c = 5.5067 Å, α = 90.00°, β = 90.00° and γ = 90.00°. Symmetry generates all atoms from Mg at (0.0000, 0.0000, 0.0000), Ga at (0.5000, 0.5000, 0.0000), Te at (0.5000, 0.5000, 0.5000) and Se at (0.0000, 0.5000, 0.5000).


MgGa2TeSe6 | GGA-PBE | optimized geometry

The calculation puts the total magnetization at 0.000 μB/atom.

It has space group C2/c (No. 15), with a = 13.2207 Å, b = 11.4258 Å, c = 7.1145 Å, α = 90.00°, β = 104.19° and γ = 90.00°. Symmetry generates all atoms from Mg at (0.0000, 0.1056, 0.2500), Ga at (0.1944, 0.4071, 0.2527), Te at (0.0000, 0.2592, 0.7500), Se at (0.1075, 0.0866, 0.6346), Se at (0.1324, 0.4265, 0.5462) and Se at (0.1416, 0.2177, 0.1128).


MgTlGaSe3 | GGA-PBE | optimized geometry

The calculation puts the total magnetization at 0.000 μB/atom.

It has space group P2_1/m (No. 11), with a = 8.1442 Å, b = 3.9042 Å, c = 11.6316 Å, α = 90.00°, β = 110.16° and γ = 90.00°. Symmetry generates all atoms from Mg at (0.1651, 0.2500, 0.1042), Tl at (0.2035, 0.7500, 0.7277), Ga at (0.4168, 0.7500, 0.3755), Se at (0.0482, 0.2500, 0.8651), Se at (0.2883, 0.2500, 0.4507) and Se at (0.4234, 0.7500, 0.1758).


Mg2GaSi2 | GGA-PBE | optimized geometry

The calculation puts the total magnetization at 0.000 μB/atom. The calculation puts the density of states at the Fermi level at 0.268 states/eV/atom.

It has space group I4/mmm (No. 139), with a = 4.4825 Å, b = 4.4825 Å, c = 10.6370 Å, α = 90.00°, β = 90.00° and γ = 90.00°. Symmetry generates all atoms from Mg at (0.0000, 0.5000, 0.2500), Ga at (0.0000, 0.0000, 0.0000) and Si at (0.0000, 0.0000, 0.3941).


Mg14GaSi | GGA-PBE | optimized geometry

The calculation puts the total magnetization at 0.000 μB/atom. As for the energy above the most stable polymorph in this dataset: 0 meV per atom. The calculation puts the density of states at the Fermi level at 0.411 states/eV/atom.

It has space group Amm2 (No. 38), with a = 10.0190 Å, b = 6.3810 Å, c = 10.8511 Å, α = 90.00°, β = 90.00° and γ = 90.00°. Symmetry generates all atoms from Mg at (0.0000, 0.0000, 0.0000), Mg at (0.0000, 0.0000, 0.4995), Mg at (0.0000, 0.2494, 0.2468), Mg at (0.2515, 0.0000, 0.8314), Mg at (0.2552, 0.0000, 0.3318), Mg at (0.2669, 0.2479, 0.5779), Mg at (0.5000, 0.2490, 0.7568), Ga at (0.5000, 0.0000, 0.9972) and Si at (0.5000, 0.0000, 0.4937).


Mg2Ga2Si | GGA-PBE | optimized geometry

The calculation puts the total magnetization at 0.000 μB/atom. The calculation puts the density of states at the Fermi level at 0.330 states/eV/atom.

It has space group P4/mbm (No. 127), with a = 6.6824 Å, b = 6.6824 Å, c = 4.2632 Å, α = 90.00°, β = 90.00° and γ = 90.00°. Symmetry generates all atoms from Mg at (0.1716, 0.3284, 0.0000), Ga at (0.1363, 0.6363, 0.5000) and Si at (0.0000, 0.0000, 0.5000).


Mg14GaSi | GGA-PBE | optimized geometry

The calculation puts the total magnetization at 0.000 μB/atom. As for the energy above the most stable polymorph in this dataset: 6 meV per atom. The calculation puts the density of states at the Fermi level at 0.416 states/eV/atom.

It has space group P-6m2 (No. 187), with a = 6.3053 Å, b = 6.3053 Å, c = 9.9955 Å, α = 90.00°, β = 90.00° and γ = 120.00°. Symmetry generates all atoms from Mg at (0.0000, 0.0000, 0.2492), Mg at (0.0057, 0.5028, 0.2447), Mg at (0.3317, 0.1658, 0.0000), Mg at (0.3340, 0.1670, 0.5000), Ga at (0.3333, 0.6667, 0.5000) and Si at (0.3333, 0.6667, 0.0000).


MgGaSi2Sn | GGA-PBE | optimized geometry

The calculation puts the total magnetization at 0.000 μB/atom. The calculation puts the density of states at the Fermi level at 0.745 states/eV/atom.

It has space group P4/mmm (No. 123), with a = 4.8057 Å, b = 4.8057 Å, c = 5.0138 Å, α = 90.00°, β = 90.00° and γ = 90.00°. Symmetry generates all atoms from Mg at (0.0000, 0.0000, 0.0000), Ga at (0.0000, 0.0000, 0.5000), Si at (0.0000, 0.5000, 0.5000) and Sn at (0.5000, 0.5000, 0.0000).


SrMgGa2Si | GGA-PBE | optimized geometry

The calculation puts the total magnetization at 0.000 μB/atom. The calculation puts the density of states at the Fermi level at 0.283 states/eV/atom.

It has space group Imm2 (No. 44), with a = 4.4535 Å, b = 4.4691 Å, c = 11.1052 Å, α = 90.00°, β = 90.00° and γ = 90.00°. Symmetry generates all atoms from Sr at (0.0000, 0.0000, 0.0000), Mg at (0.0000, 0.5000, 0.7547), Ga at (0.0000, 0.0000, 0.6162), Ga at (0.0000, 0.5000, 0.2535) and Si at (0.0000, 0.0000, 0.3923).


ThMg2GaSi2 | GGA-PBE | optimized geometry

The calculation puts the total magnetization at 0.000 μB/atom. The calculation puts the density of states at the Fermi level at 0.657 states/eV/atom.

It has space group I4/mmm (No. 139), with a = 5.2899 Å, b = 5.2899 Å, c = 10.3062 Å, α = 90.00°, β = 90.00° and γ = 90.00°. Symmetry generates all atoms from Th at (0.0000, 0.0000, 0.0000), Mg at (0.0000, 0.5000, 0.2500), Ga at (0.0000, 0.0000, 0.5000) and Si at (0.0000, 0.0000, 0.2736).


Number 1: E_form (uncorrected) 0.033 eV per atom. Number 2: E_form (uncorrected) -0.779 eV per atom. Number 3: E_form (uncorrected) -0.213 eV per atom. Number 4: E_form (uncorrected) -0.023 eV per atom. Number 5: E_form (uncorrected) -0.170 eV per atom. Number 6: E_form (uncorrected) -0.975 eV per atom. Number 7: E_form (uncorrected) -0.692 eV per atom. Number 8: E_form (uncorrected) -0.674 eV per atom. Number 9: E_form (uncorrected) -0.778 eV per atom. Number 10: E_form (uncorrected) -0.366 eV per atom. Number 11: E_form (uncorrected) 0.661 eV per atom. Number 12: E_form (uncorrected) 0.306 eV per atom. Number 13: E_form (uncorrected) -1.276 eV per atom. Number 14: E_form (uncorrected) 0.239 eV per atom. Number 15: E_form (uncorrected) 0.327 eV per atom. Number 16: E_form (uncorrected) -0.477 eV per atom. Number 17: E_form (uncorrected) -0.735 eV per atom. Number 18: E_form (uncorrected) 0.120 eV per atom. Number 19: E_form (uncorrected) 0.002 eV per atom. Number 20: E_form (uncorrected) 0.003 eV per atom. Number 21: E_form (uncorrected) 0.008 eV per atom. Number 22: E_form (uncorrected) 0.625 eV per atom. Number 23: E_form (uncorrected) -0.339 eV per atom. Number 24: E_form (uncorrected) 0.203 eV per atom.